--- 1 ---
# SmAlPO, optimized geometry, DFT PBE
# * total magnetization: 0.00 μB/f.u.
data_SmAlPO
_cell_length_a 3.976
_cell_length_b 4.597
_cell_length_c 6.894
_cell_angle_alpha 90.00
_cell_angle_beta 90.00
_cell_angle_gamma 90.00
_symmetry_space_group_name_H-M 'P m c 21'
_symmetry_Int_Tables_number 26
loop_
_symmetry_equiv_pos_as_xyz
'x,y,z'
'-x,-y,z+1/2'
'-x,y,z'
'x,-y,z+1/2'
loop_
_atom_site_label
_atom_site_type_symbol
_atom_site_fract_x
_atom_site_fract_y
_atom_site_fract_z
_atom_site_occupancy
Sm1 Sm 0.000 0.173 0.000 1
Al1 Al 0.500 0.331 0.348 1
P1 P 0.500 0.176 0.693 1
O1 O 0.000 0.330 0.348 1

---

--- 2 ---
# SmAlPO, optimized geometry, DFT PBE
# * total magnetization: 0.01 μB/f.u.
data_SmAlPO
_cell_length_a 4.048
_cell_length_b 4.048
_cell_length_c 9.567
_cell_angle_alpha 90.00
_cell_angle_beta 90.00
_cell_angle_gamma 90.00
_symmetry_space_group_name_H-M 'P 4/n m m'
_symmetry_Int_Tables_number 129
loop_
_symmetry_equiv_pos_as_xyz
'x,y,z'
'-x,-y,-z'
'-y+1/2,x,z'
'y+1/2,-x,-z'
'-x+1/2,-y+1/2,z'
'x+1/2,y+1/2,-z'
'y,-x+1/2,z'
'-y,x+1/2,-z'
'x+1/2,-y,-z'
'-x+1/2,y,z'
'-y,-x,-z'
'y,x,z'
'-x,y+1/2,-z'
'x,-y+1/2,z'
'y+1/2,x+1/2,-z'
'-y+1/2,-x+1/2,z'
loop_
_atom_site_label
_atom_site_type_symbol
_atom_site_fract_x
_atom_site_fract_y
_atom_site_fract_z
_atom_site_occupancy
Sm1 Sm 0.250 0.750 0.000 1
Al1 Al 0.250 0.250 0.443 1
P1 P 0.250 0.250 0.203 1
O1 O 0.250 0.750 0.500 1

---

Result of the stability comparison: 2 is the least stable of them.

---

--- 1 ---
# SmAlPO, optimized geometry, DFT PBE
# * total magnetization: 0.08 μB/f.u.
data_SmAlPO
_cell_length_a 4.031
_cell_length_b 6.715
_cell_length_c 5.667
_cell_angle_alpha 90.00
_cell_angle_beta 90.00
_cell_angle_gamma 90.00
_symmetry_space_group_name_H-M 'P m c 21'
_symmetry_Int_Tables_number 26
loop_
_symmetry_equiv_pos_as_xyz
'x,y,z'
'-x,-y,z+1/2'
'-x,y,z'
'x,-y,z+1/2'
loop_
_atom_site_label
_atom_site_type_symbol
_atom_site_fract_x
_atom_site_fract_y
_atom_site_fract_z
_atom_site_occupancy
Sm1 Sm 0.000 0.188 0.000 1
Al1 Al 0.500 0.388 0.611 1
P1 P 0.000 0.234 0.495 1
O1 O 0.500 0.377 0.943 1

---

--- 2 ---
# SmAlPO, optimized geometry, DFT PBE
# * total magnetization: 0.01 μB/f.u.
data_SmAlPO
_cell_length_a 4.027
_cell_length_b 4.027
_cell_length_c 8.646
_cell_angle_alpha 90.00
_cell_angle_beta 90.00
_cell_angle_gamma 90.00
_symmetry_space_group_name_H-M 'P 4/n m m'
_symmetry_Int_Tables_number 129
loop_
_symmetry_equiv_pos_as_xyz
'x,y,z'
'-x,-y,-z'
'-y+1/2,x,z'
'y+1/2,-x,-z'
'-x+1/2,-y+1/2,z'
'x+1/2,y+1/2,-z'
'y,-x+1/2,z'
'-y,x+1/2,-z'
'x+1/2,-y,-z'
'-x+1/2,y,z'
'-y,-x,-z'
'y,x,z'
'-x,y+1/2,-z'
'x,-y+1/2,z'
'y+1/2,x+1/2,-z'
'-y+1/2,-x+1/2,z'
loop_
_atom_site_label
_atom_site_type_symbol
_atom_site_fract_x
_atom_site_fract_y
_atom_site_fract_z
_atom_site_occupancy
Sm1 Sm 0.250 0.250 0.129 1
Al1 Al 0.250 0.750 0.500 1
P1 P 0.250 0.250 0.663 1
O1 O 0.250 0.750 0.000 1

---

Result of the stability comparison: 1 is the least stable of them.